w) Density functional theory data (PBE) for a relaxed MnHgGeCl2 crystal.

abc: 4.633 6.022 4.633
angles: 90.00 90.00 90.00
Atoms (fractional coordinates):
Ge 0.500 0.500 0.500
Cl 0.500 0.000 0.000
Cl 0.000 0.000 0.500
Mn 0.000 0.000 0.000
Hg 0.000 0.500 0.000

M_tot	4.02	μB per formula unit

x) Density functional theory data (PBE) for a relaxed MnHgGeCl2 crystal.

abc: 4.680 5.384 4.680
angles: 90.00 90.00 90.00
Atoms (fractional coordinates):
Ge 0.000 0.500 0.000
Cl 0.500 0.000 0.000
Cl 0.000 0.000 0.500
Mn 0.000 0.000 0.000
Hg 0.500 0.500 0.500

M_tot	3.01	μB per formula unit

Verdict on stability: w) comes out at the bottom.

w) Density functional theory data (PBE) for a relaxed Ge2ICl3 crystal.

abc: 5.924 8.915 9.445
angles: 97.20 108.28 90.00
Atoms (fractional coordinates):
Cl 0.599 0.457 0.198
Cl 0.799 0.686 0.599
Cl 0.996 0.799 0.993
Cl 0.004 0.201 0.007
Cl 0.401 0.543 0.802
Cl 0.201 0.314 0.401
I 0.368 0.963 0.736
I 0.632 0.037 0.264
Ge 0.894 0.925 0.787
Ge 0.300 0.655 0.599
Ge 0.700 0.345 0.401
Ge 0.106 0.075 0.213

M_tot	0.00	μB per formula unit

x) Density functional theory data (PBE) for a relaxed Ge2ICl3 crystal.

abc: 4.035 9.191 12.202
angles: 89.71 80.48 77.32
Atoms (fractional coordinates):
Cl 0.797 0.851 0.556
Cl 0.203 0.149 0.444
Cl 0.909 0.929 0.252
Cl 0.694 0.654 0.957
Cl 0.306 0.346 0.043
Cl 0.091 0.071 0.748
Ge 0.636 0.110 0.617
Ge 0.859 0.409 0.873
Ge 0.141 0.591 0.127
Ge 0.364 0.890 0.383
I 0.400 0.487 0.713
I 0.600 0.513 0.287

M_tot	0.00	μB per formula unit

Verdict on stability: w) comes out at the bottom.

w) Density functional theory data (PBE) for a relaxed InGeI2Cl crystal.

abc: 5.942 5.942 5.145
angles: 90.00 90.00 90.00
Atoms (fractional coordinates):
I 0.000 0.500 0.000
I 0.500 0.000 0.000
Cl 0.000 0.000 0.500
Ge 0.000 0.000 0.000
In 0.500 0.500 0.500

M_tot	0.00	μB per formula unit

x) Density functional theory data (PBE) for a relaxed InGeI2Cl crystal.

abc: 6.082 5.536 6.082
angles: 90.00 90.00 90.00
Atoms (fractional coordinates):
Cl 0.000 0.000 0.000
In 0.000 0.500 0.000
I 0.000 0.000 0.500
I 0.500 0.000 0.000
Ge 0.500 0.500 0.500

M_tot	1.31	μB per formula unit

Verdict on stability: x) comes out at the bottom.

w) Density functional theory data (PBE) for a relaxed KGeI2Cl crystal.

abc: 5.978 5.978 5.212
angles: 90.00 90.00 90.00
Atoms (fractional coordinates):
Cl 0.000 0.000 0.500
I 0.000 0.500 0.000
I 0.500 0.000 0.000
Ge 0.000 0.000 0.000
K 0.500 0.500 0.500

M_tot	0.00	μB per formula unit

x) Density functional theory data (PBE) for a relaxed KGeI2Cl crystal.

abc: 4.512 8.989 9.311
angles: 103.99 90.00 90.00
Atoms (fractional coordinates):
Cl 0.750 0.437 0.320
Cl 0.250 0.563 0.680
I 0.750 0.773 0.033
I 0.250 0.227 0.967
I 0.750 0.897 0.630
I 0.250 0.103 0.370
K 0.750 0.321 0.672
K 0.250 0.679 0.328
Ge 0.750 0.176 0.178
Ge 0.250 0.824 0.822

M_tot	0.00	μB per formula unit

Verdict on stability: w) comes out at the bottom.

w) Density functional theory data (PBE) for a relaxed GeIN2Cl crystal.

abc: 3.836 3.836 7.447
angles: 90.00 90.00 90.00
Atoms (fractional coordinates):
N 0.000 0.500 0.000
N 0.500 0.000 0.000
I 0.000 0.000 0.500
Cl 0.500 0.500 0.500
Ge 0.000 0.000 0.000

M_tot	0.00	μB per formula unit

x) Density functional theory data (PBE) for a relaxed GeIN2Cl crystal.

abc: 4.263 4.263 7.043
angles: 90.00 90.00 90.00
Atoms (fractional coordinates):
Ge 0.500 0.500 0.500
N 0.500 0.000 0.000
N 0.000 0.500 0.000
Cl 0.000 0.000 0.000
I 0.000 0.000 0.500

M_tot	3.15	μB per formula unit

Verdict on stability: x) comes out at the bottom.

w) Density functional theory data (PBE) for a relaxed GeSbI2Cl crystal.

abc: 5.505 5.505 5.694
angles: 90.00 90.00 90.00
Atoms (fractional coordinates):
I 0.500 0.000 0.000
I 0.000 0.500 0.000
Cl 0.000 0.000 0.000
Sb 0.000 0.000 0.500
Ge 0.500 0.500 0.500

M_tot	0.00	μB per formula unit

x) Density functional theory data (PBE) for a relaxed GeSbI2Cl crystal.

abc: 5.566 5.566 5.630
angles: 90.00 90.00 90.00
Atoms (fractional coordinates):
Ge 0.000 0.000 0.000
I 0.000 0.500 0.000
I 0.500 0.000 0.000
Sb 0.000 0.000 0.500
Cl 0.500 0.500 0.500

M_tot	0.01	μB per formula unit

Verdict on stability: w) comes out at the bottom.

w) Density functional theory data (PBE) for a relaxed GeSb2ICl crystal.

abc: 5.125 5.125 6.675
angles: 90.00 90.00 90.00
Atoms (fractional coordinates):
Sb 0.500 0.000 0.000
Sb 0.000 0.500 0.000
Cl 0.000 0.000 0.000
I 0.000 0.000 0.500
Ge 0.500 0.500 0.500

M_tot	0.00	μB per formula unit

x) Density functional theory data (PBE) for a relaxed GeSb2ICl crystal.

abc: 5.465 5.465 5.591
angles: 90.00 90.00 90.00
Atoms (fractional coordinates):
Sb 0.000 0.500 0.000
Sb 0.500 0.000 0.000
Cl 0.500 0.500 0.500
Ge 0.000 0.000 0.000
I 0.000 0.000 0.500

M_tot	0.55	μB per formula unit

Verdict on stability: w) comes out at the bottom.

w) Density functional theory data (PBE) for a relaxed GeTe2ICl crystal.

abc: 5.521 5.521 5.475
angles: 90.00 90.00 90.00
Atoms (fractional coordinates):
I 0.000 0.000 0.500
Te 0.000 0.500 0.000
Te 0.500 0.000 0.000
Cl 0.000 0.000 0.000
Ge 0.500 0.500 0.500

M_tot	0.00	μB per formula unit

x) Density functional theory data (PBE) for a relaxed GeTe2ICl crystal.

abc: 5.474 5.474 5.572
angles: 90.00 90.00 90.00
Atoms (fractional coordinates):
Te 0.000 0.500 0.000
Te 0.500 0.000 0.000
Cl 0.500 0.500 0.500
Ge 0.000 0.000 0.000
I 0.000 0.000 0.500

M_tot	0.00	μB per formula unit

Verdict on stability: w) comes out at the bottom.

w) Density functional theory data (PBE) for a relaxed InGePCl2 crystal.

abc: 5.045 5.045 5.267
angles: 90.00 90.00 90.00
Atoms (fractional coordinates):
Cl 0.000 0.500 0.000
Cl 0.500 0.000 0.000
In 0.000 0.000 0.000
Ge 0.500 0.500 0.500
P 0.000 0.000 0.500

M_tot	0.00	μB per formula unit

x) Density functional theory data (PBE) for a relaxed InGePCl2 crystal.

abc: 5.036 5.036 4.944
angles: 90.00 90.00 90.00
Atoms (fractional coordinates):
Cl 0.000 0.500 0.000
Cl 0.500 0.000 0.000
P 0.000 0.000 0.500
In 0.500 0.500 0.500
Ge 0.000 0.000 0.000

M_tot	0.00	μB per formula unit

Verdict on stability: w) comes out at the bottom.

w) Density functional theory data (PBE) for a relaxed InGeS2Cl crystal.

abc: 5.105 5.105 4.973
angles: 90.00 90.00 90.00
Atoms (fractional coordinates):
S 0.500 0.000 0.000
S 0.000 0.500 0.000
Cl 0.000 0.000 0.500
Ge 0.500 0.500 0.500
In 0.000 0.000 0.000

M_tot	0.00	μB per formula unit

x) Density functional theory data (PBE) for a relaxed InGeS2Cl crystal.

abc: 4.791 4.791 5.153
angles: 90.00 90.00 90.00
Atoms (fractional coordinates):
Cl 0.000 0.000 0.500
S 0.500 0.000 0.000
S 0.000 0.500 0.000
In 0.500 0.500 0.500
Ge 0.000 0.000 0.000

M_tot	0.00	μB per formula unit

Verdict on stability: w) comes out at the bottom.

w) Density functional theory data (PBE) for a relaxed InSnGeCl2 crystal.

abc: 5.239 5.967 5.239
angles: 90.00 90.00 90.00
Atoms (fractional coordinates):
In 0.000 0.500 0.000
Sn 0.000 0.000 0.000
Cl 0.500 0.000 0.000
Cl 0.000 0.000 0.500
Ge 0.500 0.500 0.500

M_tot	0.00	μB per formula unit

x) Density functional theory data (PBE) for a relaxed InSnGeCl2 crystal.

abc: 5.110 5.930 5.110
angles: 90.00 90.00 90.00
Atoms (fractional coordinates):
In 0.000 0.000 0.000
Cl 0.000 0.000 0.500
Cl 0.500 0.000 0.000
Sn 0.000 0.500 0.000
Ge 0.500 0.500 0.500

M_tot	0.01	μB per formula unit

Verdict on stability: w) comes out at the bottom.

w) Density functional theory data (PBE) for a relaxed GeIr2Cl crystal.

abc: 4.209 4.209 8.310
angles: 75.33 75.33 90.00
Atoms (fractional coordinates):
Ir 0.616 0.125 0.250
Ir 0.875 0.866 0.750
Ir 0.134 0.625 0.250
Ir 0.375 0.384 0.750
Cl 0.250 0.750 0.500
Cl 0.500 0.500 0.000
Ge 0.750 0.250 0.500
Ge 0.000 0.000 0.000

M_tot	0.00	μB per formula unit

x) Density functional theory data (PBE) for a relaxed GeIr2Cl crystal.

abc: 4.416 4.416 4.416
angles: 60.00 60.00 60.00
Atoms (fractional coordinates):
Ge 0.500 0.500 0.500
Cl 0.000 0.000 0.000
Ir 0.250 0.250 0.250
Ir 0.750 0.750 0.750

M_tot	0.00	μB per formula unit

Verdict on stability: x) comes out at the bottom.